Material: Er4PtAu2
Method: DFT, PBE
State: optimized geometry

Electronic total energy (eV/atom): -5.247
Size of the total moment (μB/f.u.): 0.000

a = 4.945 Å, b = 4.945 Å, c = 8.679 Å
α = 73.45°, β = 73.45°, γ = 60.00°
Atoms (fractional coordinates):
Au: 0.758 0.758 0.727
Au: 0.242 0.242 0.273
Pt: 0.000 0.000 0.000
Er: 0.878 0.878 0.367
Er: 0.122 0.122 0.633
Er: 0.627 0.627 0.118
Er: 0.373 0.373 0.882

---

Material: PrBi2TeO8
Method: DFT, PBE
State: optimized geometry

Electronic total energy (eV/atom): -6.130
Size of the total moment (μB/f.u.): 0.000

a = 5.177 Å, b = 5.178 Å, c = 7.041 Å
α = 90.00°, β = 90.00°, γ = 89.22°
Atoms (fractional coordinates):
Pr: 0.000 0.000 0.500
Bi: 0.500 0.500 0.756
Bi: 0.500 0.500 0.244
Te: 0.000 0.000 0.000
O: 0.180 0.818 0.210
O: 0.732 0.735 0.000
O: 0.820 0.182 0.210
O: 0.820 0.182 0.790
O: 0.268 0.265 0.000
O: 0.180 0.818 0.790
O: 0.679 0.682 0.500
O: 0.321 0.318 0.500

---

Material: NbZn2I8
Method: DFT, PBE
State: optimized geometry

Electronic total energy (eV/atom): -2.729
Size of the total moment (μB/f.u.): 1.001

a = 6.897 Å, b = 9.200 Å, c = 8.927 Å
α = 121.02°, β = 91.21°, γ = 90.00°
Last column: magnetic moment on the atom in μB.
Atoms (fractional coordinates):
Nb: 0.000 0.000 0.000  0.90
Zn: 0.390 0.832 0.664  0.01
Zn: 0.610 0.168 0.336  0.01
I: 0.756 0.855 0.140  -0.01
I: 0.244 0.715 0.860  -0.01
I: 0.784 0.841 0.682  -0.01
I: 0.216 0.159 0.318  -0.01
I: 0.756 0.285 0.140  -0.01
I: 0.244 0.145 0.860  -0.01
I: 0.296 0.672 0.343  0.00
I: 0.704 0.328 0.657  0.00

---

Material: CsNaCd3
Method: DFT, PBE
State: optimized geometry

Electronic total energy (eV/atom): -1.054
Energy above the most stable polymorph in this dataset (eV/f.u.): 0.000
Size of the total moment (μB/f.u.): 0.000

a = 6.157 Å, b = 5.881 Å, c = 10.548 Å
α = 73.81°, β = 90.00°, γ = 90.00°
Atoms (fractional coordinates):
Cs: 0.750 0.796 0.408
Cs: 0.250 0.204 0.592
Na: 0.750 0.449 0.101
Na: 0.250 0.551 0.899
Cd: 0.750 0.848 0.787
Cd: 0.750 0.365 0.787
Cd: 0.250 0.635 0.213
Cd: 0.250 0.152 0.213
Cd: 0.000 0.000 0.000
Cd: 0.500 0.000 0.000

---

Material: Pr6SnP2Cl3
Method: DFT, PBE
State: optimized geometry

Electronic total energy (eV/atom): -5.513
Size of the total moment (μB/f.u.): 0.000

a = 4.266 Å, b = 8.593 Å, c = 9.599 Å
α = 102.73°, β = 102.84°, γ = 90.00°
Atoms (fractional coordinates):
Pr: 0.331 0.883 0.662
Pr: 0.674 0.567 0.349
Pr: 0.669 0.117 0.338
Pr: 0.013 0.262 0.026
Pr: 0.987 0.738 0.974
Pr: 0.326 0.433 0.651
Sn: 0.500 0.000 0.000
P: 0.831 0.660 0.661
P: 0.169 0.340 0.339
Cl: 0.500 0.500 0.000
Cl: 0.835 0.165 0.670
Cl: 0.165 0.835 0.330

---

Material: RePtC3
Method: DFT, PBE
State: optimized geometry

Electronic total energy (eV/atom): -7.199
Energy above the most stable polymorph in this dataset (eV/f.u.): 0.000
Size of the total moment (μB/f.u.): 0.000

a = 4.024 Å, b = 4.024 Å, c = 4.024 Å
α = 90.00°, β = 90.00°, γ = 90.00°
Atoms (fractional coordinates):
Re: 0.000 0.000 0.000
C: 0.000 0.500 0.000
C: 0.000 0.000 0.500
C: 0.500 0.000 0.000
Pt: 0.500 0.500 0.500

---

Material: Li2TaTc
Method: DFT, PBE
State: optimized geometry

Electronic total energy (eV/atom): -6.078
Energy above the most stable polymorph in this dataset (eV/f.u.): 1.171
Size of the total moment (μB/f.u.): 0.000

a = 2.569 Å, b = 2.569 Å, c = 9.509 Å
α = 90.00°, β = 90.00°, γ = 90.00°
Atoms (fractional coordinates):
Li: 0.000 0.000 0.983
Li: 0.000 0.000 0.517
Ta: 0.500 0.500 0.250
Tc: 0.500 0.500 0.750

---

Material: NaB2C2O7
Method: DFT, PBE
State: optimized geometry

Electronic total energy (eV/atom): -7.222
Size of the total moment (μB/f.u.): 0.998

a = 4.366 Å, b = 4.366 Å, c = 7.816 Å
α = 73.78°, β = 73.78°, γ = 60.00°
Last column: magnetic moment on the atom in μB.
Atoms (fractional coordinates):
Na: 0.000 0.000 0.000  0.01
B: 0.562 0.562 0.315  0.01
B: 0.438 0.438 0.685  0.01
C: 0.754 0.754 0.738  0.21
C: 0.246 0.246 0.262  0.21
O: 0.308 0.934 0.231  0.03
O: 0.934 0.528 0.231  0.03
O: 0.528 0.308 0.231  0.03
O: 0.500 0.500 0.500  0.00
O: 0.692 0.472 0.769  0.03
O: 0.472 0.066 0.769  0.03
O: 0.066 0.692 0.769  0.03